No. 1
## Zr4CdAs (PBE-GGA)

Data for a relaxed structure of Zr4CdAs.

Cell lengths 5.772, 5.772, 5.772 Å; angles 60.00, 60.00, 60.00 degrees
Positions (direct):
Zr (0.878, 0.374, 0.374)
Zr (0.374, 0.878, 0.374)
Zr (0.374, 0.374, 0.374)
As (0.750, 0.750, 0.750)
Cd (0.000, 0.000, 0.000)
Zr (0.374, 0.374, 0.878)

## Properties
Its space group is No. 216. Its raw total energy is -38.12 eV/cell. Its density of states at the Fermi level is 1.014 states/eV/atom.

---

No. 2
## AcPrNd2Tm4 (PBE-GGA)

Data for a relaxed structure of AcPrNd2Tm4.

Cell lengths 9.652, 9.652, 12.001 Å; angles 128.44, 128.44, 88.38 degrees
Positions (direct):
Ac (0.000, 0.500, 0.000)
Nd (0.500, 0.000, 0.000)
Nd (0.000, 0.000, 0.500)
Tm (0.259, 0.242, 0.000)
Tm (0.742, 0.759, 0.500)
Pr (0.000, 0.000, 0.000)
Tm (0.737, 0.239, 0.988)
Nd (0.500, 0.500, 0.000)
Tm (0.263, 0.761, 0.012)
Ac (0.000, 0.500, 0.500)
Tm (0.741, 0.758, 0.000)
Tm (0.739, 0.237, 0.488)
Nd (0.500, 0.000, 0.500)
Pr (0.500, 0.500, 0.500)
Tm (0.258, 0.241, 0.500)
Tm (0.261, 0.763, 0.512)

## Properties
Its space group is No. 74. Its raw total energy is -65.86 eV/cell. Its density of states at the Fermi level is 2.312 states/eV/atom.

---

No. 3
## Tl2CdHg6 (PBE-GGA)

Data for a relaxed structure of Tl2CdHg6.

Cell lengths 9.325, 9.325, 3.267 Å; angles 90.00, 90.00, 120.00 degrees
Positions (direct):
Cd (0.000, 0.000, 0.000)
Tl (0.333, 0.667, 0.000)
Hg (0.672, 0.000, 0.500)
Tl (0.667, 0.333, 0.000)
Hg (0.000, 0.672, 0.500)
Hg (0.000, 0.328, 0.500)
Hg (0.672, 0.672, 0.500)
Hg (0.328, 0.328, 0.500)
Hg (0.328, 0.000, 0.500)

## Properties
Its space group is No. 191. Its raw total energy is -7.38 eV/cell. Its density of states at the Fermi level is 0.226 states/eV/atom.

---

No. 4
## Cs2AgPdF6 (PBE-GGA)

Data for a relaxed structure of Cs2AgPdF6.

Cell lengths 6.351, 6.351, 6.355 Å; angles 60.02, 60.02, 90.00 degrees
Site moments in Bohr magnetons follow the coordinates.
Positions (direct):
Ag (0.000, 0.000, 0.000)  -0.02
F (0.265, 0.735, 0.000)  0.03
Cs (0.750, 0.250, 0.500)  0.00
Cs (0.250, 0.750, 0.500)  0.00
F (0.735, 0.735, 0.529)  0.04
Pd (0.500, 0.500, 0.000)  0.74
F (0.735, 0.265, 0.000)  0.03
F (0.735, 0.735, 0.000)  0.04
F (0.265, 0.265, 0.000)  0.04
F (0.265, 0.265, 0.471)  0.04

## Properties
Its space group is No. 225. For the formation energy from raw total energies, the calculation gives -1.917 eV/atom. Its density of states at the Fermi level is 0.176 states/eV/atom.

---

No. 5
## TiRe3N (PBE-GGA)

Data for a relaxed structure of TiRe3N.

Cell lengths 4.083, 4.083, 4.083 Å; angles 90.00, 90.00, 90.00 degrees
Positions (direct):
N (0.000, 0.000, 0.000)
Ti (0.500, 0.500, 0.500)
Re (0.000, 0.500, 0.000)
Re (0.500, 0.000, 0.000)
Re (0.000, 0.000, 0.500)

## Properties
Its space group is No. 221. For the formation energy from raw total energies, the calculation gives 0.018 eV/atom. Its density of states at the Fermi level is 0.690 states/eV/atom.

---

No. 6
## HPd3F (PBE-GGA)

Data for a relaxed structure of HPd3F.

Cell lengths 3.963, 3.963, 3.963 Å; angles 90.00, 90.00, 90.00 degrees
Positions (direct):
Pd (0.000, 0.500, 0.000)
F (0.500, 0.500, 0.500)
H (0.000, 0.000, 0.000)
Pd (0.000, 0.000, 0.500)
Pd (0.500, 0.000, 0.000)

## Properties
Its space group is No. 221. Its raw total energy is -20.73 eV/cell. Its density of states at the Fermi level is 1.261 states/eV/atom.